Entry 1:
An optimized crystal structure of HoErCuPt, computed with PBE-GGA.

extended XYZ file:
```
4
Lattice="4.4348 0.0000 0.0000 0.0000 1.8686 5.2021 0.0000 -1.8686 5.2021" Properties=species:S:1:pos:R:3 pbc="T T T"
Ho 0.0000 0.0000 0.0000
Er 2.2174 0.0000 7.5135
Cu 2.2174 0.0000 4.5767
Pt 0.0000 0.0000 2.9306
```

Summary:
Symmetry ... Amm2, No. 38
E_form ... -831 meV per atom
Offset from the most stable computed form ... 0 meV per atom



Entry 2:
An optimized crystal structure of Hg4As, computed with PBE-GGA.

extended XYZ file:
```
5
Lattice="-3.3277 3.3277 3.3277 3.3277 -3.3277 3.3277 3.3277 3.3277 -3.3277" Properties=species:S:1:pos:R:3 pbc="T T T"
Hg 1.6639 1.6639 -1.6639
Hg 1.6639 -1.6639 1.6639
Hg -1.6639 1.6639 1.6639
Hg 1.6639 1.6639 1.6639
As 0.0000 0.0000 0.0000
```

Summary:
Symmetry ... Im-3m, No. 229
E_form ... 204 meV per atom
Offset from the most stable computed form ... 96 meV per atom



Entry 3:
An optimized crystal structure of BeFe2TcH, computed with PBE-GGA.

extended XYZ file:
```
5
Lattice="3.5202 0.0000 0.0000 0.0000 3.5202 0.0000 0.0000 0.0000 3.9491" Properties=species:S:1:pos:R:3 pbc="T T T"
Be 0.0000 0.0000 0.0000
Fe 0.0000 1.7601 1.9746
Fe 1.7601 0.0000 1.9746
Tc 1.7601 1.7601 0.0000
H 1.7601 1.7601 1.9746
```

Summary:
Symmetry ... P4/mmm, No. 123
Offset from the most stable computed form ... 0 meV per atom